No. 1
Material: Ga
Method: DFT, PBE-GGA
State: relaxed

* N(E_F): 0.23 states/eV/cell
* magnetic moment: 0.000 μB/atom
* uncorrected energy: -3.02 eV/atom
* formation enthalpy at 0 K: 0.01 eV per formula unit

Cell: 2.810 2.951 2.951 Å, 59.30 66.72 66.69°
Fractional coordinates of all 1 atoms:
Ga 0.500 0.500 0.000

No. 2
Material: Ga
Method: DFT, PBE-GGA
State: relaxed

* N(E_F): 0.67 states/eV/cell
* magnetic moment: 0.000 μB/atom
* uncorrected energy: -3.02 eV/atom
* formation enthalpy at 0 K: 0.01 eV per formula unit

Cell: 3.271 3.271 6.212 Å, 90.00 90.00 120.00°
Fractional coordinates of all 3 atoms:
Ga 0.000 0.000 0.500
Ga 0.667 0.333 0.833
Ga 0.333 0.667 0.167

No. 3
Material: Ga
Method: DFT, PBE-GGA
State: relaxed

* N(E_F): 0.55 states/eV/cell
* magnetic moment: 0.000 μB/atom
* uncorrected energy: -3.01 eV/atom
* formation enthalpy at 0 K: 0.02 eV per formula unit

Cell: 2.642 9.342 3.105 Å, 90.00 90.00 90.00°
Fractional coordinates of all 4 atoms:
Ga 0.500 0.371 0.750
Ga 0.000 0.129 0.250
Ga 0.000 0.871 0.750
Ga 0.500 0.629 0.250

No. 4
Material: Ga
Method: DFT, PBE-GGA
State: relaxed

* N(E_F): 8.36 states/eV/cell
* magnetic moment: 0.000 μB/atom
* uncorrected energy: -3.01 eV/atom
* formation enthalpy at 0 K: 0.02 eV per formula unit

Cell: 7.817 7.817 7.817 Å, 72.24 72.24 72.24°
Fractional coordinates of all 22 atoms:
Ga 0.095 0.620 0.095
Ga 0.718 0.020 0.718
Ga 0.095 0.095 0.620
Ga 0.380 0.905 0.905
Ga 0.020 0.718 0.718
Ga 0.905 0.905 0.380
Ga 0.000 0.000 0.000
Ga 0.374 0.677 0.677
Ga 0.626 0.323 0.323
Ga 0.323 0.323 0.626
Ga 0.980 0.282 0.282
Ga 0.000 0.500 0.500
Ga 0.500 0.500 0.000
Ga 0.905 0.380 0.905
Ga 0.620 0.095 0.095
Ga 0.677 0.374 0.677
Ga 0.500 0.000 0.500
Ga 0.718 0.718 0.020
Ga 0.282 0.282 0.980
Ga 0.677 0.677 0.374
Ga 0.323 0.626 0.323
Ga 0.282 0.980 0.282

No. 5
Material: Ga
Method: DFT, PBE-GGA
State: relaxed

* N(E_F): 1.22 states/eV/cell
* magnetic moment: 0.000 μB/atom
* uncorrected energy: -3.00 eV/atom
* formation enthalpy at 0 K: 0.02 eV per formula unit

Cell: 2.928 2.928 7.283 Å, 77.64 77.64 69.92°
Fractional coordinates of all 3 atoms:
Ga 0.000 0.000 0.000
Ga 0.252 0.252 0.333
Ga 0.748 0.748 0.667

No. 6
Material: Ga
Method: DFT, PBE-GGA
State: relaxed

* N(E_F): 2.30 states/eV/cell
* magnetic moment: 0.000 μB/atom
* uncorrected energy: -2.99 eV/atom
* formation enthalpy at 0 K: 0.04 eV per formula unit

Cell: 5.443 5.443 10.505 Å, 90.00 90.00 90.00°
Fractional coordinates of all 16 atoms:
Ga 0.319 0.181 0.000
Ga 0.819 0.181 0.750
Ga 0.319 0.681 0.250
Ga 0.819 0.819 0.250
Ga 0.819 0.319 0.000
Ga 0.819 0.681 0.500
Ga 0.181 0.319 0.500
Ga 0.181 0.819 0.750
Ga 0.681 0.181 0.500
Ga 0.181 0.181 0.250
Ga 0.681 0.681 0.750
Ga 0.181 0.681 0.000
Ga 0.681 0.319 0.250
Ga 0.319 0.319 0.750
Ga 0.681 0.819 0.000
Ga 0.319 0.819 0.500

No. 7
Material: Ga
Method: DFT, PBE-GGA
State: relaxed

* N(E_F): 0.51 states/eV/cell
* magnetic moment: 0.000 μB/atom
* uncorrected energy: -3.01 eV/atom
* formation enthalpy at 0 K: 0.01 eV per formula unit

Cell: 2.844 2.914 4.902 Å, 90.00 110.04 90.00°
Fractional coordinates of all 2 atoms:
Ga 0.500 0.000 0.500
Ga 0.500 0.500 0.000

No. 8
Material: Ga
Method: DFT, PBE-GGA
State: relaxed

* N(E_F): 1.31 states/eV/cell
* magnetic moment: 0.000 μB/atom
* uncorrected energy: -3.01 eV/atom
* formation enthalpy at 0 K: 0.02 eV per formula unit

Cell: 2.962 2.962 9.860 Å, 90.00 90.00 120.00°
Fractional coordinates of all 4 atoms:
Ga 0.333 0.667 0.250
Ga 0.667 0.333 0.750
Ga 0.000 0.000 0.500
Ga 0.000 0.000 0.000